DFT (PBE) results for TiGeRu3 after structural relaxation.

Lattice parameters (Å, degrees): 4.5361 4.5361 4.5361 90.00 90.00 90.00
With the nearest neighbours (Å) after each atom.
Sites, in units of the cell vectors:
Ti: 0.0000 0.0000 0.0000  6 Ru 2.27
Ge: 0.5000 0.5000 0.5000  12 Ru 3.21
Ru: 0.0000 0.0000 0.5000  2 Ti 2.27
Ru: 0.0000 0.5000 0.0000  2 Ti 2.27
Ru: 0.5000 0.0000 0.0000  2 Ti 2.27

Output
DOS(E_F) in states/eV/atom: 1.09
Energy in eV per cell: -34.534
Crystal system: cubic